GGA+U TaIrWF2, optimized geometry; VASP energy = -27.82 eV per formula unit; ρ = 11.27 g cm⁻³
1.0
3.990 0.000 0.000
0.000 3.990 0.000
0.000 0.000 5.508
Ta Ir W F
1 1 1 2
Direct
0.000 0.000 0.000
0.500 0.500 0.500
0.500 0.500 0.000
0.000 0.500 0.500
0.500 0.000 0.500